[1]
Sm8YHo5 after structural relaxation, computed with PBE-GGA.

Lattice parameters (Å, degrees): 9.6287 9.6287 10.2370 90.00 90.00 90.00
Closest atoms and distances in Å follow each position.
Space group I-4 (No. 82)
Asymmetric unit:
Sm1 0.0696 0.3256 0.4033 [8 per cell]  5 Ho 3.36-3.59, 3 Sm 3.62-3.66
Sm2 0.0889 0.1755 0.7467 [8 per cell]  4 Ho 3.16-3.49, 1 Y 3.24
Y1 0.0000 0.5000 0.7500 [2 per cell]  4 Sm 3.24
Ho1 0.0000 0.0000 0.5000 [2 per cell]  8 Sm 3.16-3.36
Ho2 0.1093 0.2063 0.0734 [8 per cell]  8 Sm 3.36-3.59, 2 Ho 3.52

Calculated values
Crystal system: tetragonal
D(E_F) in states/eV per cell: 41.839
Size of the total moment in μB per formula unit: 0.00
Calculated formation energy in eV/atom: 0.2525


[2]
LiPr2As4Rh3 after structural relaxation, computed with PBE-GGA.

Lattice parameters (Å, degrees): 4.3421 4.3421 10.0303 90.00 90.00 90.00
Closest atoms and distances in Å follow each position.
Space group P-4m2 (No. 115)
Asymmetric unit:
Li1 0.0000 0.0000 0.0000 [1 per cell]  4 As 2.56
Pr1 0.0000 0.5000 0.7474 [2 per cell]  8 As 3.29-3.30, 7 Rh 3.34-3.66, 2 Li 3.34
As1 0.0000 0.0000 0.5000 [1 per cell]  4 Rh 2.47
As2 0.0000 0.5000 0.1357 [2 per cell]  3 Rh 2.48-2.56, 2 Li 2.56
As3 0.5000 0.5000 0.5000 [1 per cell]  4 Rh 2.47
Rh1 0.0000 0.5000 0.3825 [2 per cell]  5 As 2.47-2.48
Rh2 0.5000 0.5000 0.0000 [1 per cell]  4 As 2.56

Calculated values
Crystal system: tetragonal
D(E_F) in states/eV per cell: 4.550
Size of the total moment in μB per formula unit: 0.00
Calculated formation energy in eV/atom: -0.9240


[3]
Au5Se3 after structural relaxation, computed with PBE-GGA.

Lattice parameters (Å, degrees): 7.3894 7.3894 7.4616 90.00 90.00 120.00
Closest atoms and distances in Å follow each position.
Space group P6_3/mcm (No. 193)
Asymmetric unit:
Au1 0.0000 0.2194 0.2500 [6 per cell]  3 Se 2.62-2.74, 2 Au 2.81
Au2 0.3333 0.6667 0.0000 [4 per cell]  6 Se 2.91
Se1 0.0000 0.4094 0.7500 [6 per cell]  7 Au 2.62-2.91

Calculated values
Crystal system: hexagonal
ΔE_f (raw) in eV per atom: 0.25
D(E_F) in states/eV per cell: 7.641
Size of the total moment in μB per formula unit: 0.00


[4]
K3RbS2 after structural relaxation, computed with PBE-GGA.

Lattice parameters (Å, degrees): 4.9527 9.6054 8.1996 90.00 90.00 90.00
Closest atoms and distances in Å follow each position.
Space group Pmc2_1 (No. 26)
Asymmetric unit:
K1 0.0000 0.0805 0.0000 [2 per cell]  3 S 3.29-3.42
K2 0.0000 0.3221 0.3767 [2 per cell]  4 S 3.15-3.21
K3 0.5000 0.1738 0.6684 [2 per cell]  4 S 3.11-3.21
Rb1 0.5000 0.4249 0.0469 [2 per cell]  5 S 3.37-3.70, 2 K 3.74
S1 0.0000 0.3590 0.7660 [2 per cell]  5 K 3.15-3.29, 2 Rb 3.44
S2 0.5000 0.1362 0.2797 [2 per cell]  6 K 3.11-3.42, 1 Rb 3.37

Calculated values
Crystal system: orthorhombic
ΔE_f (raw) in eV per atom: -1.03
D(E_F) in states/eV per cell: 0.000
Size of the total moment in μB per formula unit: 0.00


[5]
BeNiTe after structural relaxation, computed with PBE-GGA.

Lattice parameters (Å, degrees): 3.6900 4.0529 7.9060 95.85 90.09 117.01
Closest atoms and distances in Å follow each position.
Space group P1 (No. 1)
Asymmetric unit:
Be1 0.0000 0.0000 0.0000 [1 per cell]  5 Ni 2.28-2.43, 2 Be 2.42
Be2 0.3704 0.7421 0.8262 [1 per cell]  2 Ni 2.14-2.16, 1 Te 2.35
Ni1 0.3589 0.7176 0.0956 [1 per cell]  3 Be 2.14-2.28
Ni2 0.6645 0.3296 0.9190 [1 per cell]  3 Be 2.16-2.33
Te1 0.0708 0.1422 0.6744 [1 per cell]  1 Be 2.35
Te2 0.6925 0.3838 0.2435 [1 per cell]  4 Ni 2.55-2.56

Calculated values
Crystal system: triclinic
ΔE_f (raw) in eV per atom: -0.22
D(E_F) in states/eV per cell: 2.279
Size of the total moment in μB per formula unit: 0.00


[6]
Tb2TeO after structural relaxation, computed with PBE-GGA.

Lattice parameters (Å, degrees): 3.7925 3.7925 20.4593 90.00 90.00 120.00
Closest atoms and distances in Å follow each position.
Space group R-3m (No. 166, hexagonal axes)
Asymmetric unit:
Tb1 0.0000 0.0000 0.2271 [6 per cell]  3 O 2.51
Te1 0.0000 0.0000 0.0000 [3 per cell]  6 Tb 3.08
O1 0.0000 0.0000 0.5000 [3 per cell]  6 Tb 2.51

Calculated values
Crystal system: trigonal
ΔE_f (raw) in eV per atom: -1.91
D(E_F) in states/eV per cell: 2.880
Size of the total moment in μB per formula unit: 0.00


[7]
Nd2ZnRu after structural relaxation, computed with PBE-GGA.

Lattice parameters (Å, degrees): 8.2321 4.0149 7.0807 90.00 110.94 90.00
Closest atoms and distances in Å follow each position.
Space group Cm (No. 8)
Asymmetric unit:
Nd1 0.0000 0.0000 0.0000 [2 per cell]  2 Ru 2.87, 3 Zn 3.10-3.17
Nd2 0.1660 0.0000 0.5444 [2 per cell]  2 Ru 2.89, 3 Zn 3.09-3.15
Zn1 0.2682 0.5000 0.2744 [2 per cell]  3 Ru 2.53-2.56
Ru1 0.4587 0.0000 0.2693 [2 per cell]  3 Zn 2.53-2.56

Calculated values
Crystal system: monoclinic
D(E_F) in states/eV per cell: 8.965
Size of the total moment in μB per formula unit: 0.00
Calculated formation energy in eV/atom: -0.1624


[8]
YHfSc2Ru after structural relaxation, computed with PBE-GGA.

Lattice parameters (Å, degrees): 5.2086 5.2086 4.7693 90.00 90.00 90.00
Closest atoms and distances in Å follow each position.
Space group P4/mmm (No. 123)
Asymmetric unit:
Y1 0.0000 0.0000 0.0000 [1 per cell]  8 Sc 3.53, 4 Ru 3.68
Hf1 0.5000 0.5000 0.5000 [1 per cell]  2 Ru 2.38, 4 Sc 2.60
Sc1 0.0000 0.5000 0.5000 [2 per cell]  2 Hf 2.60
Ru1 0.5000 0.5000 0.0000 [1 per cell]  2 Hf 2.38

Calculated values
Crystal system: tetragonal
D(E_F) in states/eV per cell: 6.528
Size of the total moment in μB per formula unit: 0.00
Calculated formation energy in eV/atom: 0.5915